SrAsH meta-GGA SCAN PBEsol geometry; SG = P2_1/m (11); electronic total energy = -16.15 eV per atom; density = 4.26 Mg/m³; spin magnetization = 0.00 μB per formula unit
1.0
4.285 0.000 -0.007
0.000 4.724 0.000
-0.872 0.000 6.307
Sr As H
2 2 2
Cartesian
0.364 1.181 4.758 Sr
3.049 3.543 1.543 Sr
0.924 1.181 1.644 As
2.490 3.543 4.656 As
-0.558 3.543 5.635 H
3.971 1.181 0.665 H